Entry 1:
! PBE-GGA Ac3Tm2Pb3, relaxed; values from VASP
! Energy above the most stable polymorph in this dataset in eV/atom: 0.086
! E_form in eV per atom: -0.374
&SYSTEM
  ibrav = 0, nat = 8, ntyp = 3
/
ATOMIC_SPECIES
Pb 207.20 Pb.upf
Ac 227.00 Ac.upf
Tm 168.93 Tm.upf
ATOMIC_POSITIONS angstrom
Pb 0.000 2.583 0.000
Ac 2.267 2.583 2.894
Pb 2.267 2.583 8.209
Pb 0.000 0.000 3.661
Ac 0.000 0.000 8.976
Tm 0.000 2.583 5.859
Ac 2.267 0.000 0.000
Tm 2.267 0.000 6.011
CELL_PARAMETERS angstrom
4.533 0.000 0.000
0.000 5.165 0.000
-2.267 -2.583 11.870



Entry 2:
! PBE-GGA Sr3NbAg, relaxed; values from VASP
! Energy above the most stable polymorph in this dataset in eV/atom: 0.178
! E_form in eV per atom: 0.901
&SYSTEM
  ibrav = 0, nat = 5, ntyp = 3
/
ATOMIC_SPECIES
Ag 107.87 Ag.upf
Nb 92.91 Nb.upf
Sr 87.62 Sr.upf
ATOMIC_POSITIONS angstrom
Ag 0.641 -2.302 4.452
Nb 0.000 0.000 0.000
Sr -1.474 0.614 2.441
Sr -0.374 -2.851 0.491
Sr 2.490 -0.065 1.519
CELL_PARAMETERS angstrom
-2.948 1.228 4.883
-0.748 -5.702 0.983
4.979 -0.130 3.039



Entry 3:
! PBE-GGA Ca3ScCd4, relaxed; values from VASP
! E_form in eV per atom: -0.329
&SYSTEM
  ibrav = 0, nat = 8, ntyp = 3
/
ATOMIC_SPECIES
Cd 112.41 Cd.upf
Ca 40.08 Ca.upf
Sc 44.96 Sc.upf
ATOMIC_POSITIONS angstrom
Cd 0.000 0.000 1.611
Ca 1.867 1.867 7.597
Ca 1.867 1.867 3.648
Cd 0.000 0.000 13.582
Sc 1.867 1.867 0.000
Ca 1.867 1.867 11.545
Cd 0.000 0.000 5.626
Cd 0.000 0.000 9.568
CELL_PARAMETERS angstrom
3.734 0.000 0.000
0.000 3.734 0.000
0.000 0.000 15.193



What is the formula in the second record? Sr3NbAg